The following is a PBE calculation of Pr3NdPa2N6 after structural relaxation, from Alexandria.

Properties
Formation energy from raw total energies ... -1.521 eV/atom
Density of states at the Fermi level ... 10.85 states/eV/cell
Spin magnetization ... 0.000 μB per formula unit

a b c (Å): 6.242 10.811 6.287
angles (deg): 90.00 109.32 90.00
Space group C2/m (No. 12)
Asymmetric unit:
Pr 0.000 0.000 0.000 [2 per cell]
Pr 0.000 0.335 0.000 [4 per cell]
Nd 0.000 0.500 0.500 [2 per cell]
Pa 0.000 0.167 0.500 [4 per cell]
N 0.215 0.000 0.714 [4 per cell]
N 0.249 0.178 0.283 [8 per cell]